1.
A relaxed Tm3Cd2Ga2 crystal. Source: Alexandria via LeMat-Bulk, functional GGA-PBE.

## Properties
Density (g/cm³): 9.0
DFT formation energy (eV/atom): -0.440
Total magnetic moment (μB/cell): 0.0

Lattice parameters (Å, degrees): 4.216 21.644 3.529 90.00 90.00 90.00
Fractional positions:
Tm  0.000  0.000  0.000
Tm  0.000  0.165  0.000
Tm  0.000  0.835  0.000
Tm  0.500  0.335  0.000
Tm  0.500  0.500  0.000
Tm  0.500  0.665  0.000
Cd  0.000  0.420  0.500
Cd  0.000  0.580  0.500
Cd  0.500  0.080  0.500
Cd  0.500  0.920  0.500
Ga  0.000  0.283  0.500
Ga  0.000  0.717  0.500
Ga  0.500  0.217  0.500
Ga  0.500  0.783  0.500

***

2.
A relaxed Rb2SrCl2F2 crystal. Source: Alexandria via LeMat-Bulk, functional GGA-PBE.

## Properties
Density (g/cm³): 3.1
Raw formation energy (eV/atom): -2.73
Total magnetic moment (μB/cell): 0.0

Lattice parameters (Å, degrees): 4.789 4.789 17.317 90.00 90.00 90.00
Fractional positions:
Rb  0.000  0.000  0.140
Rb  0.000  0.000  0.860
Rb  0.500  0.500  0.360
Rb  0.500  0.500  0.640
Sr  0.000  0.000  0.500
Sr  0.500  0.500  0.000
Cl  0.000  0.000  0.331
Cl  0.000  0.000  0.669
Cl  0.500  0.500  0.169
Cl  0.500  0.500  0.831
F  0.000  0.500  0.000
F  0.000  0.500  0.500
F  0.500  0.000  0.000
F  0.500  0.000  0.500

***

3.
A relaxed LaTi2GeO crystal. Source: Alexandria via LeMat-Bulk, functional GGA-PBE.

## Properties
Density (g/cm³): 5.8
Raw formation energy (eV/atom): -0.82
Total magnetic moment (μB/cell): 0.8

Lattice parameters (Å, degrees): 4.210 4.210 5.236 90.00 90.00 90.00
Fractional positions:
La  0.000  0.000  0.000
Ti  0.000  0.500  0.500
Ti  0.500  0.000  0.500
Ge  0.500  0.500  0.000
O  0.500  0.500  0.500

***

- The lowest density belongs to which entry?
  Rb2SrCl2F2